[1]
# PmSnAs2Rh5 | Alexandria | PBE | optimized geometry
# Calculated total energy: -6.605 eV per atom
# V: 19.94 Å³/atom
# Crystal system: tetragonal
# Energy of formation from the pure elements: -0.5153 eV/atom
data_PmSnAs2Rh5
_chemical_formula_sum 'Pm1 Sn1 As2 Rh5'
_cell_length_a 4.1171
_cell_length_b 4.1171
_cell_length_c 10.5874
_cell_angle_alpha 90.00
_cell_angle_beta 90.00
_cell_angle_gamma 90.00
_space_group_name_H-M_alt 'P 4/m m m'
_space_group_IT_number 123
_space_group_name_Hall '-P 4 2'
loop_
_atom_site_label
_atom_site_type_symbol
_atom_site_fract_x
_atom_site_fract_y
_atom_site_fract_z
Pm1 Pm 0.0000 0.0000 0.0000
Sn1 Sn 0.0000 0.0000 0.5000
As1 As 0.5000 0.5000 0.2238
Rh1 Rh 0.0000 0.5000 0.3388
Rh2 Rh 0.5000 0.5000 0.0000

=====

[2]
# Pm2TaAs4Rh3 | Alexandria | PBE | optimized geometry
# Calculated total energy: -7.024 eV per atom
# V: 19.04 Å³/atom
# Crystal system: tetragonal
# Energy of formation from the pure elements: -0.8229 eV/atom
data_Pm2TaAs4Rh3
_chemical_formula_sum 'Pm2 Ta1 As4 Rh3'
_cell_length_a 4.2883
_cell_length_b 4.2883
_cell_length_c 10.3552
_cell_angle_alpha 90.00
_cell_angle_beta 90.00
_cell_angle_gamma 90.00
_space_group_name_H-M_alt 'P -4 m 2'
_space_group_IT_number 115
loop_
_space_group_symop_operation_xyz
'x,y,z'
'y,-x,-z'
'-x,-y,z'
'-y,x,-z'
'-x,y,z'
'-y,-x,-z'
'x,-y,z'
'y,x,-z'
loop_
_atom_site_label
_atom_site_type_symbol
_atom_site_fract_x
_atom_site_fract_y
_atom_site_fract_z
Pm1 Pm 0.0000 0.5000 0.2323
Ta1 Ta 0.0000 0.0000 0.5000
As1 As 0.0000 0.0000 0.0000
As2 As 0.0000 0.5000 0.6423
As3 As 0.5000 0.5000 0.0000
Rh1 Rh 0.0000 0.5000 0.8792
Rh2 Rh 0.5000 0.5000 0.5000

=====

[3]
# TbPmAs2Rh5 | Alexandria | PBE | optimized geometry
# Calculated total energy: -6.917 eV per atom
# V: 17.87 Å³/atom
# Crystal system: tetragonal
# Energy of formation from the pure elements: -0.7575 eV/atom
data_TbPmAs2Rh5
_chemical_formula_sum 'Tb1 Pm1 As2 Rh5'
_cell_length_a 4.2645
_cell_length_b 4.2645
_cell_length_c 8.8441
_cell_angle_alpha 90.00
_cell_angle_beta 90.00
_cell_angle_gamma 90.00
_space_group_name_H-M_alt 'P 4/m m m'
_space_group_IT_number 123
_space_group_name_Hall '-P 4 2'
loop_
_atom_site_label
_atom_site_type_symbol
_atom_site_fract_x
_atom_site_fract_y
_atom_site_fract_z
Tb1 Tb 0.0000 0.0000 0.0000
Pm1 Pm 0.0000 0.0000 0.5000
As1 As 0.5000 0.5000 0.1465
Rh1 Rh 0.0000 0.5000 0.2643
Rh2 Rh 0.5000 0.5000 0.5000

=====

[4]
# TbPm2As3Rh4 | Alexandria | PBE | optimized geometry
# Calculated total energy: -6.709 eV per atom
# V: 19.52 Å³/atom
# Crystal system: tetragonal
# Energy of formation from the pure elements: -0.9607 eV/atom
data_TbPm2As3Rh4
_chemical_formula_sum 'Tb1 Pm2 As3 Rh4'
_cell_length_a 4.1307
_cell_length_b 4.1307
_cell_length_c 11.4417
_cell_angle_alpha 90.00
_cell_angle_beta 90.00
_cell_angle_gamma 90.00
_space_group_name_H-M_alt 'P -4 m 2'
_space_group_IT_number 115
loop_
_space_group_symop_operation_xyz
'x,y,z'
'y,-x,-z'
'-x,-y,z'
'-y,x,-z'
'-x,y,z'
'-y,-x,-z'
'x,-y,z'
'y,x,-z'
loop_
_atom_site_label
_atom_site_type_symbol
_atom_site_fract_x
_atom_site_fract_y
_atom_site_fract_z
Tb1 Tb 0.0000 0.0000 0.0000
Pm1 Pm 0.0000 0.5000 0.7236
As1 As 0.0000 0.5000 0.3720
As2 As 0.5000 0.5000 0.0000
Rh1 Rh 0.0000 0.0000 0.5000
Rh2 Rh 0.0000 0.5000 0.1604
Rh3 Rh 0.5000 0.5000 0.5000

=====

[5]
# Pm2TcAs4Rh3 | Alexandria | PBE | optimized geometry
# Calculated total energy: -6.915 eV per atom
# V: 18.45 Å³/atom
# Crystal system: tetragonal
# Energy of formation from the pure elements: -0.8628 eV/atom
data_Pm2TcAs4Rh3
_chemical_formula_sum 'Pm2 Tc1 As4 Rh3'
_cell_length_a 4.3127
_cell_length_b 4.3127
_cell_length_c 9.9196
_cell_angle_alpha 90.00
_cell_angle_beta 90.00
_cell_angle_gamma 90.00
_space_group_name_H-M_alt 'P -4 m 2'
_space_group_IT_number 115
loop_
_space_group_symop_operation_xyz
'x,y,z'
'y,-x,-z'
'-x,-y,z'
'-y,x,-z'
'-x,y,z'
'-y,-x,-z'
'x,-y,z'
'y,x,-z'
loop_
_atom_site_label
_atom_site_type_symbol
_atom_site_fract_x
_atom_site_fract_y
_atom_site_fract_z
Pm1 Pm 0.0000 0.5000 0.2409
Tc1 Tc 0.0000 0.0000 0.5000
As1 As 0.0000 0.0000 0.0000
As2 As 0.0000 0.5000 0.6291
As3 As 0.5000 0.5000 0.0000
Rh1 Rh 0.0000 0.5000 0.8771
Rh2 Rh 0.5000 0.5000 0.5000

=====

[6]
# Pm8Te4As3Rh | Alexandria | PBE | optimized geometry
# ΔE_f (raw): -1.392 eV per atom
# Calculated total energy: -5.884 eV per atom
# V: 29.17 Å³/atom
# Crystal system: trigonal
data_Pm8Te4As3Rh
_chemical_formula_sum 'Pm24 Te12 As9 Rh3'
_cell_length_a 8.6255
_cell_length_b 8.6255
_cell_length_c 21.7323
_cell_angle_alpha 90.00
_cell_angle_beta 90.00
_cell_angle_gamma 120.00
_space_group_name_H-M_alt 'R -3 m'
_space_group_IT_number 166
_space_group_name_Hall '-R 3 2"'
loop_
_atom_site_label
_atom_site_type_symbol
_atom_site_fract_x
_atom_site_fract_y
_atom_site_fract_z
Pm1 Pm 0.0000 0.0000 0.2406
Pm2 Pm 0.0076 0.5038 0.2393
Te1 Te 0.0000 0.0000 0.0000
Te2 Te 0.0000 0.5000 0.0000
As1 As 0.0000 0.5000 0.5000
Rh1 Rh 0.0000 0.0000 0.5000

=====

[7]
# Pm6Te3As2Rh | Alexandria | PBE | optimized geometry
# ΔE_f (raw): -1.355 eV per atom
# Calculated total energy: -5.903 eV per atom
# V: 29.08 Å³/atom
# Crystal system: monoclinic
data_Pm6Te3As2Rh
_chemical_formula_sum 'Pm12 Te6 As4 Rh2'
_cell_length_a 19.0634
_cell_length_b 4.2814
_cell_length_c 8.8426
_cell_angle_alpha 90.00
_cell_angle_beta 104.74
_cell_angle_gamma 90.00
_space_group_name_H-M_alt 'C 1 2/m 1'
_space_group_IT_number 12
loop_
_space_group_symop_operation_xyz
'x,y,z'
'-x,-y,-z'
'-x,y,-z'
'x,-y,z'
'x+1/2,y+1/2,z'
'-x+1/2,-y+1/2,-z'
'-x+1/2,y+1/2,-z'
'x+1/2,-y+1/2,z'
loop_
_atom_site_label
_atom_site_type_symbol
_atom_site_fract_x
_atom_site_fract_y
_atom_site_fract_z
Pm1 Pm 0.0048 0.0000 0.2264
Pm2 Pm 0.1556 0.5000 0.0960
Pm3 Pm 0.1727 0.5000 0.5680
Te1 Te 0.0000 0.5000 0.5000
Te2 Te 0.1703 0.0000 0.8334
As1 As 0.1662 0.0000 0.3351
Rh1 Rh 0.0000 0.5000 0.0000

=====

[8]
# Pm3TeAs2Rh9 | Alexandria | PBE | optimized geometry
# ΔE_f (raw): -0.446 eV per atom
# Calculated total energy: -6.636 eV per atom
# V: 21.19 Å³/atom
# Crystal system: trigonal
data_Pm3TeAs2Rh9
_chemical_formula_sum 'Pm3 Te1 As2 Rh9'
_cell_length_a 6.2713
_cell_length_b 6.2713
_cell_length_c 9.3302
_cell_angle_alpha 90.00
_cell_angle_beta 90.00
_cell_angle_gamma 120.00
_space_group_name_H-M_alt 'P -3 m 1'
_space_group_IT_number 164
_space_group_name_Hall '-P 3 2"'
loop_
_atom_site_label
_atom_site_type_symbol
_atom_site_fract_x
_atom_site_fract_y
_atom_site_fract_z
Pm1 Pm 0.0000 0.0000 0.0000
Pm2 Pm 0.3333 0.6667 0.7329
Te1 Te 0.0000 0.0000 0.5000
As1 As 0.3333 0.6667 0.1687
Rh1 Rh 0.0000 0.5000 0.0000
Rh2 Rh 0.1442 0.2884 0.2775

=====

[9]
# Pm4Te2AsRh | Alexandria | PBE | optimized geometry
# ΔE_f (raw): -1.249 eV per atom
# Calculated total energy: -5.910 eV per atom
# V: 29.10 Å³/atom
# Crystal system: monoclinic
data_Pm4Te2AsRh
_chemical_formula_sum 'Pm4 Te2 As1 Rh1'
_cell_length_a 7.4977
_cell_length_b 4.2601
_cell_length_c 7.6861
_cell_angle_alpha 90.00
_cell_angle_beta 108.48
_cell_angle_gamma 90.00
_space_group_name_H-M_alt 'P 1 2/m 1'
_space_group_IT_number 10
loop_
_space_group_symop_operation_xyz
'x,y,z'
'-x,-y,-z'
'-x,y,-z'
'x,-y,z'
loop_
_atom_site_label
_atom_site_type_symbol
_atom_site_fract_x
_atom_site_fract_y
_atom_site_fract_z
Pm1 Pm 0.2307 0.0000 0.2130
Pm2 Pm 0.2531 0.5000 0.7823
Te1 Te 0.0000 0.0000 0.5000
Te2 Te 0.5000 0.5000 0.5000
As1 As 0.5000 0.0000 0.0000
Rh1 Rh 0.0000 0.5000 0.0000

=====

[10]
# PmThAs2Rh5 | Alexandria | PBE | optimized geometry
# Calculated total energy: -7.249 eV per atom
# V: 18.11 Å³/atom
# Crystal system: tetragonal
# Energy of formation from the pure elements: -0.7791 eV/atom
data_PmThAs2Rh5
_chemical_formula_sum 'Pm1 Th1 As2 Rh5'
_cell_length_a 4.2829
_cell_length_b 4.2829
_cell_length_c 8.8842
_cell_angle_alpha 90.00
_cell_angle_beta 90.00
_cell_angle_gamma 90.00
_space_group_name_H-M_alt 'P 4/m m m'
_space_group_IT_number 123
_space_group_name_Hall '-P 4 2'
loop_
_atom_site_label
_atom_site_type_symbol
_atom_site_fract_x
_atom_site_fract_y
_atom_site_fract_z
Pm1 Pm 0.0000 0.0000 0.0000
Th1 Th 0.0000 0.0000 0.5000
As1 As 0.5000 0.5000 0.3537
Rh1 Rh 0.0000 0.5000 0.2335
Rh2 Rh 0.5000 0.5000 0.0000

=====

[11]
# Pm2ThAs3Rh4 | Alexandria | PBE | optimized geometry
# Calculated total energy: -6.968 eV per atom
# V: 20.27 Å³/atom
# Crystal system: tetragonal
# Energy of formation from the pure elements: -0.9402 eV/atom
data_Pm2ThAs3Rh4
_chemical_formula_sum 'Pm2 Th1 As3 Rh4'
_cell_length_a 4.2255
_cell_length_b 4.2255
_cell_length_c 11.3554
_cell_angle_alpha 90.00
_cell_angle_beta 90.00
_cell_angle_gamma 90.00
_space_group_name_H-M_alt 'P -4 m 2'
_space_group_IT_number 115
loop_
_space_group_symop_operation_xyz
'x,y,z'
'y,-x,-z'
'-x,-y,z'
'-y,x,-z'
'-x,y,z'
'-y,-x,-z'
'x,-y,z'
'y,x,-z'
loop_
_atom_site_label
_atom_site_type_symbol
_atom_site_fract_x
_atom_site_fract_y
_atom_site_fract_z
Pm1 Pm 0.0000 0.5000 0.2110
Th1 Th 0.0000 0.0000 0.5000
As1 As 0.0000 0.5000 0.8703
As2 As 0.5000 0.5000 0.5000
Rh1 Rh 0.0000 0.0000 0.0000
Rh2 Rh 0.0000 0.5000 0.6548
Rh3 Rh 0.5000 0.5000 0.0000

=====

These records have M_tot values of 0.0000; 0.0002; 0.0000; 0.0000; 0.0000; 0.0000; 0.0000; 0.0000; 0.0000; 0.0000; 0.0000 μB per atom, in the order they appear.